Entry 1:
! Pm7Dy2 PBE relaxed; values from VASP
&SYSTEM
  ibrav = 0, nat = 9, ntyp = 2
/
ATOMIC_SPECIES
Pm 145.00 Pm.upf
Dy 162.50 Dy.upf
ATOMIC_POSITIONS angstrom
Pm 0.0000 0.0000 0.0000
Pm -5.0097 -0.9859 -0.2857
Pm 0.8843 -4.7965 1.5368
Pm -2.0637 -2.8940 0.6229
Pm -1.9200 -4.5774 3.8650
Pm -4.8726 -2.6685 2.9521
Pm -4.1562 -5.8107 1.2914
Dy 0.7136 -3.1439 -1.6640
Dy -2.2352 -1.2373 -2.5758
CELL_PARAMETERS angstrom
-5.1841 0.6692 -3.4876
3.6624 -5.0504 -0.7522
-4.6982 -4.3236 6.1540
! Fermi-level density of states = 1.297 states/eV per atom
! DFT formation energy = 0.015 eV/atom
! Total DFT energy (no corrections) = -4.70 eV/atom

=====

Entry 2:
! YScMo2 PBE relaxed; values from VASP
&SYSTEM
  ibrav = 0, nat = 4, ntyp = 3
/
ATOMIC_SPECIES
Mo 95.94 Mo.upf
Sc 44.96 Sc.upf
Y 88.91 Y.upf
ATOMIC_POSITIONS angstrom
Mo -0.1143 -0.0898 0.2984
Mo -1.8062 1.3475 1.5675
Sc -1.2278 -0.9615 3.0990
Y -3.1917 0.2568 5.2659
CELL_PARAMETERS angstrom
-2.5255 3.5545 0.1022
-2.5110 -1.8009 0.5816
-0.0320 -0.2001 6.1709
! Offset from the most stable computed form = 4.16 kcal/mol of atoms
! Fermi-level density of states = 1.458 states/eV per atom
! DFT formation energy = 0.243 eV/atom
! Total DFT energy (no corrections) = -8.37 eV/atom

=====

Entry 3:
! FeRuBr2 PBE relaxed; values from VASP
&SYSTEM
  ibrav = 0, nat = 4, ntyp = 3
/
ATOMIC_SPECIES
Br 79.90 Br.upf
Fe 55.84 Fe.upf
Ru 101.07 Ru.upf
ATOMIC_POSITIONS angstrom
Br 0.0000 0.0000 7.7374
Br 1.0787 1.5608 2.9221
Fe 0.0000 0.0000 4.5743
Ru 1.0787 1.5608 5.9056
CELL_PARAMETERS angstrom
3.3748 -0.0261 0.0000
-1.2173 3.1477 0.0000
0.0000 0.0000 8.4558
! Offset from the most stable computed form = 4.99 kcal/mol of atoms
! ΔE_f (raw) = 0.36 eV per atom
! Fermi-level density of states = 0.776 states/eV per atom
! Total DFT energy (no corrections) = -4.91 eV/atom